Here is a geometry-optimized Sr4Pd2Cl structure from Alexandria. Energies are from PBE.

Results
E_tot (eV/atom): -3.416
Fermi-level density of states (states/eV per cell): 7.19
V (Å³ per cell): 500.6
Magnetization (μB per formula unit): 0.00

Cell: 5.7827 5.7827 14.9689 Å, 90.00 90.00 90.00°
Last column: nearest neighbours and their distance in Å.
Space group I4/mmm (No. 139)
Unique sites:
Sr1 0.0000 0.0000 0.2142 (multiplicity 4)  1 Pd 2.91, 1 Cl 3.21
Sr2 0.0000 0.5000 0.0000 (multiplicity 4)  2 Cl 2.89, 4 Pd 3.20
Pd1 0.0000 0.0000 0.4086 (multiplicity 4)  1 Pd 2.74, 1 Sr 2.91
Cl1 0.0000 0.0000 0.0000 (multiplicity 2)  6 Sr 2.89-3.21